SrAlGe after structural relaxation. Source: Alexandria via LeMat-Bulk, functional PBE.

Cell lengths 4.327, 4.327, 4.766 Å; angles 90.00, 90.00, 120.00 degrees
Atoms (fractional coordinates):
Sr: 0.000 0.000 0.000
Al: 0.667 0.333 0.500
Ge: 0.333 0.667 0.500

Calculated values
* symmetry: P-6m2

Sr2Al2Ge after structural relaxation. Source: Alexandria via LeMat-Bulk, functional PBE.

Cell lengths 4.683, 7.406, 7.406 Å; angles 32.75, 90.00, 90.00 degrees
Atoms (fractional coordinates):
Sr: 0.000 0.000 0.000
Sr: 0.000 0.251 0.251
Al: 0.500 0.423 0.423
Al: 0.500 0.622 0.622
Ge: 0.500 0.821 0.821

Calculated values
* symmetry: Amm2

So what do the calculations give for formation energy from the elements? Going down the list: -137.0 -136.0 kJ/mol of formula units.